No. 1
Material: MoRu
Method: DFT, GGA-PBE
State: optimized geometry

a = 2.7290 Å, b = 4.2300 Å, c = 5.4241 Å
α = 90.00°, β = 74.06°, γ = 90.00°
Element x y z (fractional)
1 Mo 0.0802 0.0000 0.9872
2 Mo 0.1698 0.5000 0.2628
3 Ru 0.8023 0.5000 0.7656
4 Ru 0.4477 0.0000 0.4844

Summary:
total moment = 0.00 μB/f.u.
Fermi-level density of states = 2.44 states/eV/f.u.
energy relative to the elements = 0.1616 eV per atom
raw total energy = -9.892 eV per atom


No. 2
Material: VCuPd3
Method: DFT, GGA-PBE
State: optimized geometry

a = 4.9509 Å, b = 6.2938 Å, c = 10.2503 Å
α = 90.00°, β = 90.00°, γ = 90.00°
Element x y z (fractional)
1 V 0.0109 0.5885 0.7500
2 V 0.4891 0.0885 0.2500
3 V 0.9891 0.4115 0.2500
4 V 0.5109 0.9115 0.7500
5 Cu 0.0000 0.5000 0.0000
6 Cu 0.5000 0.0000 0.5000
7 Cu 0.5000 0.0000 0.0000
8 Cu 0.0000 0.5000 0.5000
9 Pd 0.0035 0.0935 0.1153
10 Pd 0.4965 0.5935 0.6153
11 Pd 0.4965 0.5935 0.8847
12 Pd 0.9965 0.9065 0.6153
13 Pd 0.9965 0.9065 0.8847
14 Pd 0.5035 0.4065 0.3847
15 Pd 0.5035 0.4065 0.1153
16 Pd 0.0035 0.0935 0.3847
17 Pd 0.2559 0.2414 0.7500
18 Pd 0.2441 0.7414 0.2500
19 Pd 0.7441 0.7586 0.2500
20 Pd 0.7559 0.2586 0.7500

Summary:
relative energy among the computed polymorphs = 64 meV/atom
total moment = 1.10 μB/f.u.
Fermi-level density of states = 4.56 states/eV/f.u.
energy relative to the elements = 0.1308 eV per atom
raw total energy = -5.628 eV per atom